No. 1
The following is a GGA-PBE calculation of crystalline Ga2IN at its relaxed geometry, from Alexandria via LeMat-Bulk.

It has space group Fm-3m (No. 225), with a = 6.861 Å, b = 6.861 Å, c = 6.861 Å, α = 90.00°, β = 90.00° and γ = 90.00°. The asymmetric unit holds Ga at (0.250, 0.250, 0.250), I at (0.000, 0.000, 0.000) and N at (0.000, 0.000, 0.500).

The energy above the lowest structure with this stoichiometry is 1032 meV/atom. The magnetic moment is 0.00 Bohr magnetons per cell. For the uncorrected formation energy, the calculation gives 1184 meV/atom.

***

No. 2
The following is a GGA-PBE calculation of crystalline Ga3IN at its relaxed geometry, from Alexandria via LeMat-Bulk.

It has space group Pm-3m (No. 221), with a = 6.004 Å, b = 6.004 Å, c = 6.004 Å, α = 90.00°, β = 90.00° and γ = 90.00°. The asymmetric unit holds Ga at (0.000, 0.000, 0.500), I at (0.000, 0.000, 0.000) and N at (0.500, 0.500, 0.500).

The energy above the lowest structure with this stoichiometry is 1307 meV/atom. The magnetic moment is 0.00 Bohr magnetons per cell. For the uncorrected formation energy, the calculation gives 1748 meV/atom.

***

No. 3
The following is a GGA-PBE calculation of crystalline NaGaI2N at its relaxed geometry, from Alexandria via LeMat-Bulk.

It has space group P4/mmm (No. 123), with a = 6.041 Å, b = 6.041 Å, c = 4.718 Å, α = 90.00°, β = 90.00° and γ = 90.00°. The asymmetric unit holds Na at (0.000, 0.000, 0.000), Ga at (0.500, 0.500, 0.500), I at (0.000, 0.500, 0.000) and N at (0.000, 0.000, 0.500).

The energy above the lowest structure with this stoichiometry is 533 meV/atom. The magnetic moment is 3.01 Bohr magnetons per cell. For the uncorrected formation energy, the calculation gives 523 meV/atom.

***

No. 4
The following is a GGA-PBE calculation of crystalline NaGaI2N at its relaxed geometry, from Alexandria via LeMat-Bulk.

It has space group P4/mmm (No. 123), with a = 5.957 Å, b = 5.957 Å, c = 3.742 Å, α = 90.00°, β = 90.00° and γ = 90.00°. The asymmetric unit holds Na at (0.000, 0.000, 0.000), Ga at (0.500, 0.500, 0.500), I at (0.000, 0.500, 0.500) and N at (0.500, 0.500, 0.000).

The energy above the lowest structure with this stoichiometry is 0 meV/atom. The magnetic moment is 1.00 Bohr magnetons per cell. For the uncorrected formation energy, the calculation gives -10 meV/atom.

***

No. 5
The following is a GGA-PBE calculation of crystalline NbGaIN2 at its relaxed geometry, from Alexandria via LeMat-Bulk.

It has space group P4/mmm (No. 123), with a = 4.136 Å, b = 4.136 Å, c = 5.854 Å, α = 90.00°, β = 90.00° and γ = 90.00°. The asymmetric unit holds Nb at (0.000, 0.000, 0.000), Ga at (0.500, 0.500, 0.500), I at (0.000, 0.000, 0.500) and N at (0.000, 0.500, 0.000).

The energy above the lowest structure with this stoichiometry is 0 meV/atom. The magnetic moment is 0.00 Bohr magnetons per cell. For the uncorrected formation energy, the calculation gives 389 meV/atom.

***

No. 6
The following is a GGA-PBE calculation of crystalline NbGaI2N at its relaxed geometry, from Alexandria via LeMat-Bulk.

It has space group P4/mmm (No. 123), with a = 5.860 Å, b = 5.860 Å, c = 3.972 Å, α = 90.00°, β = 90.00° and γ = 90.00°. The asymmetric unit holds Nb at (0.000, 0.000, 0.000), Ga at (0.500, 0.500, 0.500), I at (0.000, 0.500, 0.000) and N at (0.000, 0.000, 0.500).

The energy above the lowest structure with this stoichiometry is 0 meV/atom. The magnetic moment is 0.95 Bohr magnetons per cell. For the uncorrected formation energy, the calculation gives -16 meV/atom.

***

No. 7
The following is a GGA-PBE calculation of crystalline NbGaIN2 at its relaxed geometry, from Alexandria via LeMat-Bulk.

It has space group P4/mmm (No. 123), with a = 3.964 Å, b = 3.964 Å, c = 5.398 Å, α = 90.00°, β = 90.00° and γ = 90.00°. The asymmetric unit holds Nb at (0.000, 0.000, 0.000), Ga at (0.500, 0.500, 0.500), I at (0.500, 0.500, 0.000) and N at (0.000, 0.500, 0.500).

The energy above the lowest structure with this stoichiometry is 1192 meV/atom. The magnetic moment is 0.00 Bohr magnetons per cell. For the uncorrected formation energy, the calculation gives 1581 meV/atom.

***

No. 8
The following is a GGA-PBE calculation of crystalline NbGaI2N at its relaxed geometry, from Alexandria via LeMat-Bulk.

It has space group P4/mmm (No. 123), with a = 5.795 Å, b = 5.795 Å, c = 3.534 Å, α = 90.00°, β = 90.00° and γ = 90.00°. The asymmetric unit holds Nb at (0.000, 0.000, 0.000), Ga at (0.500, 0.500, 0.500), I at (0.000, 0.500, 0.500) and N at (0.500, 0.500, 0.000).

The energy above the lowest structure with this stoichiometry is 889 meV/atom. The magnetic moment is 2.33 Bohr magnetons per cell. For the uncorrected formation energy, the calculation gives 873 meV/atom.